Entry 1:
This record from Alexandria describes a relaxed Bi2NCl crystal. The functional is GGA-PBE.

Lattice parameters (Å, degrees): 6.944 6.944 6.944 90.00 90.00 90.00
Space group Fm-3m (No. 225)
Asymmetric unit:
Bi 0.250 0.250 0.250 (multiplicity 8)
N 0.000 0.000 0.000 (multiplicity 4)
Cl 0.000 0.000 0.500 (multiplicity 4)

Output
For the energy above the lowest structure with this stoichiometry, the calculation gives 518 meV per atom. For the formation energy (no corrections), the calculation gives 0.82 eV/atom.



Entry 2:
This record from Alexandria describes a relaxed Sc2Cd3Ni2 crystal. The functional is GGA-PBE.

Lattice parameters (Å, degrees): 3.818 20.654 3.357 90.00 90.00 90.00
Space group Cmmm (No. 65)
Asymmetric unit:
Sc 0.000 0.177 0.000 (multiplicity 4)
Cd 0.000 0.000 0.000 (multiplicity 2)
Cd 0.000 0.417 0.500 (multiplicity 4)
Ni 0.000 0.286 0.500 (multiplicity 4)

Output
Its formation energy is -351 meV per atom.



Entry 3:
This record from Alexandria describes a relaxed Nd6InIr2I3 crystal. The functional is GGA-PBE.

Lattice parameters (Å, degrees): 20.519 4.234 9.610 90.00 109.17 90.00
Space group C2/m (No. 12)
Asymmetric unit:
Nd 0.027 0.000 0.256 (multiplicity 4)
Nd 0.164 0.500 0.142 (multiplicity 4)
Nd 0.184 0.500 0.557 (multiplicity 4)
In 0.000 0.500 0.000 (multiplicity 2)
Ir 0.170 0.000 0.345 (multiplicity 4)
I 0.000 0.500 0.500 (multiplicity 2)
I 0.162 0.000 0.841 (multiplicity 4)

Output
For the formation energy (no corrections), the calculation gives -0.85 eV/atom.



Entry 4:
This record from Alexandria describes a relaxed RbCd7Hg12 crystal. The functional is GGA-PBE.

Lattice parameters (Å, degrees): 10.989 10.989 10.989 90.00 90.00 90.00
Space group Im-3 (No. 204)
Asymmetric unit:
Rb 0.000 0.000 0.000 (multiplicity 2)
Cd 0.000 0.000 0.500 (multiplicity 6)
Cd 0.250 0.250 0.250 (multiplicity 8)
Hg 0.000 0.186 0.305 (multiplicity 24)

Output
Its formation energy is 48 meV per atom.



Entry 5:
This record from Alexandria describes a relaxed CrGeBi3 crystal. The functional is GGA-PBE.

Lattice parameters (Å, degrees): 5.250 5.250 5.250 90.00 90.00 90.00
Space group Pm-3m (No. 221)
Asymmetric unit:
Cr 0.000 0.000 0.000 (multiplicity 1)
Ge 0.500 0.500 0.500 (multiplicity 1)
Bi 0.000 0.000 0.500 (multiplicity 3)

Output
For the energy above the lowest structure with this stoichiometry, the calculation gives 0 meV per atom. Its formation energy is 624 meV per atom.



Entry 6:
This record from Alexandria describes a relaxed La6AuCl5 crystal. The functional is GGA-PBE.

Lattice parameters (Å, degrees): 7.172 12.561 7.436 90.00 108.89 90.00
Space group C2/m (No. 12)
Asymmetric unit:
La 0.233 0.000 0.240 (multiplicity 4)
La 0.243 0.171 0.745 (multiplicity 8)
Au 0.000 0.500 0.000 (multiplicity 2)
Cl 0.000 0.000 0.500 (multiplicity 2)
Cl 0.000 0.171 0.000 (multiplicity 4)
Cl 0.000 0.347 0.500 (multiplicity 4)

Output
For the formation energy (no corrections), the calculation gives -1.42 eV/atom.



| no. | DOS at the Fermi energy (states/eV per atom) |
| --- | --- |
| 1 | 0.61 |
| 2 | 0.51 |
| 3 | 0.52 |
| 4 | 0.43 |
| 5 | 0.75 |
| 6 | 0.90 |